Computed, not measured: Nd2AlCu2Pt5 after structural relaxation at the GGA-PBE level of DFT.

ΔH_f (0 K), eV per atom: -0.806
Calculated total energy, eV per atom: -5.973
DOS(E_F), states/eV/f.u.: 3.4

Unit cell a=9.5833 b=9.5833 c=3.8407 alpha=90.00 beta=90.00 gamma=90.00
Space group P4/mbm (No. 127)
Symmetry-distinct sites (fractional):
Nd 0.1756 0.3244 0.0000 x4
Al 0.0000 0.0000 0.0000 x2
Cu 0.1232 0.6232 0.0000 x4
Pt 0.0000 0.5000 0.5000 x2
Pt 0.0633 0.7974 0.5000 x8